Computed, not measured: a geometry-optimized PaCo4W structure at the GGA-PBE level of DFT.

a b c (Å): 6.863 6.863 6.863
angles (deg): 90.00 90.00 90.00
Space group F-43m (No. 216)
Asymmetric unit:
Pa 0.000 0.000 0.000 x4
Co 0.124 0.124 0.376 x16
W 0.250 0.250 0.750 x4

Summary:
E ... -0.3124 hartree per atom
Mass density ... 13.4 g/cm3
Calculated formation energy ... -23 meV per atom